# 1
Compound: Ho6ScIn
Source: the Alexandria database
Functional: GGA-PBE
Structure: relaxed

total energy	-4.55	eV/atom
ΔE to the lowest computed polymorph	130	meV per atom
energy of formation from the pure elements	0.1	eV per formula unit
N(E_F)	0.902	states/eV per atom

abc: 6.5143 6.5143 9.0851
angles: 110.78 110.78 120.40
Sites, in units of the cell vectors:
Ho1 0.3181 0.3181 0.7484
Ho2 0.7422 0.1702 0.7482
Ho3 0.2578 0.8298 0.2518
Ho4 0.6819 0.6819 0.2516
In1 0.0000 0.0000 0.0000
Sc1 0.5000 0.5000 0.5000
Ho5 0.8298 0.2578 0.2518
Ho6 0.1702 0.7422 0.7482


# 2
Compound: HoSc2In3
Source: the Alexandria database
Functional: GGA-PBE
Structure: relaxed

total energy	-4.67	eV/atom
energy of formation from the pure elements	-2.6	eV per formula unit
N(E_F)	0.713	states/eV per atom

abc: 3.4269 3.4269 12.1241
angles: 90.00 90.00 90.00
Sites, in units of the cell vectors:
Sc1 0.5000 0.5000 0.8389
In1 0.0000 0.0000 0.3214
In2 0.0000 0.0000 0.0000
Ho1 0.5000 0.5000 0.5000
Sc2 0.5000 0.5000 0.1611
In3 0.0000 0.0000 0.6786


# 3
Compound: HoSc3In4
Source: the Alexandria database
Functional: GGA-PBE
Structure: relaxed

total energy	-4.74	eV/atom
energy of formation from the pure elements	-3.4	eV per formula unit
N(E_F)	0.713	states/eV per atom

abc: 5.3559 6.7570 10.3531
angles: 90.00 90.00 90.00
Sites, in units of the cell vectors:
In1 0.5000 0.7591 0.0000
Sc1 0.0000 0.0000 0.0000
Sc2 0.0000 0.0000 0.5000
In2 0.8862 0.2413 0.2500
Ho1 0.0000 0.5000 0.5000
In3 0.1138 0.2413 0.7500
In4 0.5000 0.7591 0.5000
In5 0.5000 0.2409 0.5000
In6 0.5000 0.2409 0.0000
In7 0.8862 0.7587 0.2500
In8 0.1138 0.7587 0.7500
Sc3 0.4016 0.5000 0.2500
Sc4 0.3849 0.0000 0.2500
Sc5 0.6151 0.0000 0.7500
Sc6 0.5984 0.5000 0.7500
Ho2 0.0000 0.5000 0.0000


# 4
Compound: Ho6ScIn2
Source: the Alexandria database
Functional: GGA-PBE
Structure: relaxed

total energy	-4.57	eV/atom
ΔE to the lowest computed polymorph	0	meV per atom
energy of formation from the pure elements	-1.8	eV per formula unit
N(E_F)	1.213	states/eV per atom

abc: 3.6593 6.5378 11.6477
angles: 73.91 80.96 73.75
Sites, in units of the cell vectors:
In1 0.6411 0.9067 0.8111
Ho1 0.6906 0.2093 0.4094
Ho2 0.0212 0.3014 0.6563
Sc1 0.0000 0.0000 0.0000
Ho3 0.3266 0.4673 0.8795
Ho4 0.6734 0.5327 0.1205
Ho5 0.9788 0.6986 0.3437
Ho6 0.3094 0.7907 0.5906
In2 0.3589 0.0933 0.1889


# 5
Compound: Ho5Sc5In
Source: the Alexandria database
Functional: GGA-PBE
Structure: relaxed

total energy	-5.01	eV/atom
energy of formation from the pure elements	2.2	eV per formula unit
N(E_F)	1.610	states/eV per atom

abc: 5.7876 5.7876 10.8291
angles: 90.00 90.00 120.00
Sites, in units of the cell vectors:
Ho1 0.0000 0.0000 0.0000
Sc1 0.8333 0.1667 0.5000
Ho2 0.6667 0.3333 0.1769
In1 0.3333 0.6667 0.0000
Sc2 0.3335 0.1667 0.5000
Sc3 0.0000 0.0000 0.2727
Ho3 0.3333 0.6667 0.6931
Ho4 0.3333 0.6667 0.3069
Ho5 0.6667 0.3333 0.8231
Sc4 0.0000 0.0000 0.7273
Sc5 0.8333 0.6665 0.5000


# 6
Compound: Ho3Sc2In
Source: the Alexandria database
Functional: GGA-PBE
Structure: relaxed

total energy	-4.96	eV/atom
ΔE to the lowest computed polymorph	27	meV per atom
energy of formation from the pure elements	-0.6	eV per formula unit
N(E_F)	1.252	states/eV per atom

abc: 6.0050 6.7664 9.3802
angles: 111.15 108.67 90.00
Sites, in units of the cell vectors:
Sc1 0.3629 0.8628 0.7257
Sc2 0.6372 0.6372 0.2743
Ho1 0.8116 0.2500 0.0000
In1 0.3034 0.2500 0.0000
Ho2 0.1884 0.7500 0.0000
Sc3 0.6371 0.1372 0.2743
Ho3 0.2022 0.4380 0.3759
Sc4 0.3628 0.3628 0.7257
Ho4 0.1737 0.9380 0.3759
Ho5 0.8263 0.0620 0.6241
Ho6 0.7978 0.5620 0.6241
In2 0.6966 0.7500 0.0000


# 7
Compound: Ho2Sc7In2
Source: the Alexandria database
Functional: GGA-PBE
Structure: relaxed

total energy	-5.39	eV/atom
energy of formation from the pure elements	-0.4	eV per formula unit
N(E_F)	1.688	states/eV per atom

abc: 5.9441 7.7700 7.7700
angles: 82.62 117.26 117.26
Sites, in units of the cell vectors:
Sc1 0.6637 0.9189 0.4170
Sc2 0.8604 0.6054 0.6054
Sc3 0.3363 0.0811 0.5830
In1 0.5026 0.2667 0.2667
Sc4 0.3363 0.5830 0.0811
Sc5 0.6637 0.4170 0.9189
Ho1 0.0000 0.8066 0.1934
Sc6 0.5000 0.0000 0.0000
In2 0.4974 0.7333 0.7333
Ho2 0.0000 0.1934 0.8066
Sc7 0.1396 0.3946 0.3946


# 8
Compound: Ho2ScIn3Se6
Source: the Alexandria database
Functional: GGA-PBE
Structure: relaxed

total energy	-4.97	eV/atom
E_form (uncorrected)	-1256	meV per atom

abc: 7.0453 7.0453 8.0604
angles: 98.36 98.36 119.95
Sites, in units of the cell vectors:
Se1 0.3897 0.0678 0.2036
In1 0.1702 0.8298 0.5000
Se2 0.2532 0.2532 0.7923
Ho1 0.6664 0.3336 0.0000
Ho2 0.3336 0.6664 0.0000
Se3 0.6103 0.9322 0.7964
Se4 0.9322 0.6103 0.7964
Se5 0.7468 0.7468 0.2077
In2 0.5000 0.5000 0.5000
Se6 0.0678 0.3897 0.2036
Sc1 0.0000 0.0000 0.0000
In3 0.8298 0.1702 0.5000


# 9
Compound: HoSc2In3Se6
Source: the Alexandria database
Functional: GGA-PBE
Structure: relaxed

total energy	-5.08	eV/atom
E_form (uncorrected)	-1219	meV per atom

abc: 6.9311 6.9311 8.0289
angles: 98.28 98.28 119.94
Sites, in units of the cell vectors:
Sc1 0.3332 0.6668 0.0000
Se1 0.9322 0.5872 0.7963
Sc2 0.6668 0.3332 0.0000
In1 0.5000 0.5000 0.5000
Se2 0.0678 0.4128 0.2037
Se3 0.4128 0.0678 0.2037
Se4 0.2785 0.2785 0.8003
Se5 0.7215 0.7215 0.1997
In2 0.1627 0.8373 0.5000
Se6 0.5872 0.9322 0.7963
Ho1 0.0000 0.0000 0.0000
In3 0.8373 0.1627 0.5000


# 10
Compound: SmHo2ScIn4
Source: the Alexandria database
Functional: GGA-PBE
Structure: relaxed

total energy	-4.33	eV/atom
energy of formation from the pure elements	-3.5	eV per formula unit
N(E_F)	0.517	states/eV per atom

abc: 5.2593 5.2593 9.1568
angles: 73.31 73.31 60.00
Sites, in units of the cell vectors:
Ho1 0.7511 0.7511 0.7468
In1 0.6223 0.6223 0.1331
In2 0.1274 0.1274 0.6177
In3 0.8726 0.8726 0.3823
Sm1 0.0000 0.0000 0.0000
Sc1 0.5000 0.5000 0.5000
In4 0.3777 0.3777 0.8669
Ho2 0.2489 0.2489 0.2532


# 11
Compound: SmHoScIn
Source: the Alexandria database
Functional: GGA-PBE
Structure: relaxed

total energy	-4.85	eV/atom
ΔE to the lowest computed polymorph	0	meV per atom
energy of formation from the pure elements	-1.0	eV per formula unit
N(E_F)	1.510	states/eV per atom

abc: 4.7792 4.7419 4.7713
angles: 90.00 90.00 90.00
Sites, in units of the cell vectors:
Ho1 0.5000 0.5000 0.0000
In1 0.0000 0.0000 0.0000
Sm1 0.5000 0.0000 0.5000
Sc1 0.0000 0.5000 0.5000


# 12
Compound: Sm2HoScIn2
Source: the Alexandria database
Functional: GGA-PBE
Structure: relaxed

total energy	-4.65	eV/atom
energy of formation from the pure elements	-2.1	eV per formula unit
N(E_F)	1.186	states/eV per atom

abc: 5.3064 6.7416 9.2931
angles: 90.00 90.00 90.00
Sites, in units of the cell vectors:
In1 0.0000 0.2587 0.8188
Sm1 0.5000 0.0078 0.0025
Sm2 0.5000 0.5078 0.9975
Sm3 0.0000 0.2608 0.1644
In2 0.0000 0.7587 0.1812
In3 0.5000 0.2568 0.3498
Sc1 0.5000 0.2545 0.6691
Ho1 0.0000 0.5069 0.5022
Sc2 0.5000 0.7545 0.3309
Sm4 0.0000 0.7608 0.8356
Ho2 0.0000 0.0069 0.4978
In4 0.5000 0.7568 0.6502


# 13
Compound: SmHoScIn
Source: the Alexandria database
Functional: GGA-PBE
Structure: relaxed

total energy	-4.75	eV/atom
ΔE to the lowest computed polymorph	96	meV per atom
energy of formation from the pure elements	-0.6	eV per formula unit
N(E_F)	1.398	states/eV per atom

abc: 5.3738 5.3738 5.3738
angles: 60.00 60.00 60.00
Sites, in units of the cell vectors:
Ho1 0.7500 0.7500 0.7500
In1 0.0000 0.0000 0.0000
Sc1 0.5000 0.5000 0.5000
Sm1 0.2500 0.2500 0.2500


# 14
Compound: HoScInSn
Source: the Alexandria database
Functional: GGA-PBE
Structure: relaxed

total energy	-4.86	eV/atom
energy of formation from the pure elements	-1.8	eV per formula unit
N(E_F)	0.639	states/eV per atom

abc: 5.1899 5.1899 5.1899
angles: 60.00 60.00 60.00
Sites, in units of the cell vectors:
Sn1 0.2500 0.2500 0.2500
In1 0.7500 0.7500 0.7500
Sc1 0.5000 0.5000 0.5000
Ho1 0.0000 0.0000 0.0000


# 15
Compound: TbHoScIn
Source: the Alexandria database
Functional: GGA-PBE
Structure: relaxed

total energy	-4.73	eV/atom
ΔE to the lowest computed polymorph	102	meV per atom
energy of formation from the pure elements	-0.6	eV per formula unit
N(E_F)	1.541	states/eV per atom

abc: 5.3408 5.3408 5.3408
angles: 60.00 60.00 60.00
Sites, in units of the cell vectors:
In1 0.5000 0.5000 0.5000
Ho1 0.2500 0.2500 0.2500
Sc1 0.0000 0.0000 0.0000
Tb1 0.7500 0.7500 0.7500


# 16
Compound: TbHoScIn
Source: the Alexandria database
Functional: GGA-PBE
Structure: relaxed

total energy	-4.83	eV/atom
ΔE to the lowest computed polymorph	0	meV per atom
energy of formation from the pure elements	-1.0	eV per formula unit
N(E_F)	1.318	states/eV per atom

abc: 4.7268 4.7396 4.7476
angles: 90.00 90.00 90.00
Sites, in units of the cell vectors:
In1 0.0000 0.5000 0.5000
Ho1 0.5000 0.0000 0.5000
Tb1 0.5000 0.5000 0.0000
Sc1 0.0000 0.0000 0.0000


# 17
Compound: HoScIn2Te4
Source: the Alexandria database
Functional: GGA-PBE
Structure: relaxed

total energy	-4.52	eV/atom
N(E_F)	0.050	states/eV per atom
E_form (uncorrected)	-901	meV per atom

abc: 4.3165 7.4774 8.4228
angles: 107.15 90.00 90.00
Sites, in units of the cell vectors:
Te1 0.5000 0.7725 0.7889
Ho1 0.5000 0.5000 0.0000
Te2 0.0000 0.2518 0.7835
In1 0.0000 0.5000 0.5000
Sc1 0.0000 0.0000 0.0000
Te3 0.5000 0.2275 0.2111
In2 0.5000 0.0000 0.5000
Te4 0.0000 0.7482 0.2165


# 18
Compound: Ho2ScIn3Te6
Source: the Alexandria database
Functional: GGA-PBE
Structure: relaxed

total energy	-4.47	eV/atom
N(E_F)	0.053	states/eV per atom
E_form (uncorrected)	-922	meV per atom

abc: 7.5221 7.5221 8.4515
angles: 98.54 98.54 119.97
Sites, in units of the cell vectors:
In1 0.8294 0.1706 0.5000
Te1 0.2505 0.2505 0.7823
Te2 0.9290 0.6059 0.7862
Ho1 0.3340 0.6660 0.0000
In2 0.5000 0.5000 0.5000
Te3 0.7495 0.7495 0.2177
Sc1 0.0000 0.0000 0.0000
Te4 0.3941 0.0710 0.2138
Te5 0.0710 0.3941 0.2138
In3 0.1706 0.8294 0.5000
Te6 0.6059 0.9290 0.7862
Ho2 0.6660 0.3340 0.0000


# 19
Compound: HoTm5ScIn2
Source: the Alexandria database
Functional: GGA-PBE
Structure: relaxed

total energy	-4.27	eV/atom
energy of formation from the pure elements	0.3	eV per formula unit
N(E_F)	1.468	states/eV per atom

abc: 7.5068 7.5068 10.8681
angles: 110.20 110.20 90.00
Sites, in units of the cell vectors:
Tm1 0.5000 0.5000 0.0000
Tm2 0.6748 0.1748 0.7486
In1 0.8748 0.6252 0.0000
Sc1 0.7500 0.2500 0.5000
Tm3 0.5738 0.6748 0.7486
Tm4 0.8252 0.9262 0.2514
Tm5 0.9262 0.4262 0.2514
Tm6 0.0000 0.0000 0.0000
In2 0.1252 0.3748 0.0000
In3 0.6252 0.1252 0.0000
Tm7 0.1748 0.0738 0.7486
Tm8 0.0738 0.5738 0.7486
In4 0.3748 0.8748 0.0000
Tm9 0.3252 0.8252 0.2514
Ho1 0.2500 0.2500 0.5000
Ho2 0.7500 0.7500 0.5000
Tm10 0.4262 0.3252 0.2514
Sc2 0.2500 0.7500 0.5000


# 20
Compound: HoTmScIn
Source: the Alexandria database
Functional: GGA-PBE
Structure: relaxed

total energy	-4.68	eV/atom
ΔE to the lowest computed polymorph	110	meV per atom
energy of formation from the pure elements	-0.6	eV per formula unit
N(E_F)	1.543	states/eV per atom

abc: 5.3063 5.3063 5.3063
angles: 60.00 60.00 60.00
Sites, in units of the cell vectors:
Tm1 0.2500 0.2500 0.2500
Sc1 0.0000 0.0000 0.0000
Ho1 0.7500 0.7500 0.7500
In1 0.5000 0.5000 0.5000